Computed, not measured: a geometry-optimized Zr3HgAu structure at the GGA-PBE level of DFT.

## Properties
crystal system: monoclinic
offset from the most stable computed form: 0.000 eV per atom
M_tot: 0.00 μB/f.u.
ΔH_f (0 K): -0.13 eV per atom

Geometry as CIF:
```
data_Zr3HgAu
_symmetry_space_group_name_H-M 'C 1 2/c 1'
_symmetry_Int_Tables_number 15
_symmetry_space_group_name_Hall '-C 2yc'
_cell_length_a 12.947
_cell_length_b 9.116
_cell_length_c 9.512
_cell_angle_alpha 90.00
_cell_angle_beta 128.69
_cell_angle_gamma 90.00
loop_
_atom_site_label
_atom_site_fract_x
_atom_site_fract_y
_atom_site_fract_z
_atom_site_occupancy
Zr1 0.097 0.147 0.095 1
Zr2 0.154 0.487 0.070 1
Zr3 0.210 0.151 0.568 1
Hg1 0.134 0.297 0.790 1
Au1 0.000 0.015 0.750 1
Au2 0.000 0.343 0.250 1
```

---

Computed, not measured: a geometry-optimized Y5Rh2Pb structure at the GGA-PBE level of DFT.

## Properties
crystal system: tetragonal
M_tot: 0.00 μB/f.u.
ΔH_f (0 K): -0.65 eV per atom

Geometry as CIF:
```
data_Y5Rh2Pb
_symmetry_space_group_name_H-M 'I 4/m c m'
_symmetry_Int_Tables_number 140
_symmetry_space_group_name_Hall '-I 4 2c'
_cell_length_a 7.827
_cell_length_b 7.827
_cell_length_c 13.570
_cell_angle_alpha 90.00
_cell_angle_beta 90.00
_cell_angle_gamma 90.00
loop_
_atom_site_label
_atom_site_fract_x
_atom_site_fract_y
_atom_site_fract_z
_atom_site_occupancy
Y1 0.000 0.000 0.000 1
Y2 0.157 0.343 0.135 1
Rh1 0.139 0.361 0.500 1
Pb1 0.000 0.000 0.250 1
```

---

Computed, not measured: a geometry-optimized HfSc3Rh structure at the GGA-PBE level of DFT.

## Properties
crystal system: cubic
offset from the most stable computed form: 0.000 eV per atom
M_tot: 0.00 μB/f.u.
ΔH_f (0 K): 0.04 eV per atom

Geometry as CIF:
```
data_HfSc3Rh
_symmetry_space_group_name_H-M 'P m -3 m'
_symmetry_Int_Tables_number 221
_symmetry_space_group_name_Hall '-P 4 2 3'
_cell_length_a 4.965
_cell_length_b 4.965
_cell_length_c 4.965
_cell_angle_alpha 90.00
_cell_angle_beta 90.00
_cell_angle_gamma 90.00
loop_
_atom_site_label
_atom_site_fract_x
_atom_site_fract_y
_atom_site_fract_z
_atom_site_occupancy
Hf1 0.000 0.000 0.000 1
Sc1 0.000 0.500 0.500 1
Rh1 0.500 0.500 0.500 1
```

---

Computed, not measured: a geometry-optimized LiNiPRh structure at the GGA-PBE level of DFT.

## Properties
crystal system: cubic
M_tot: 0.00 μB/f.u.
ΔH_f (0 K): -0.50 eV per atom

Geometry as CIF:
```
data_LiNiPRh
_symmetry_space_group_name_H-M 'F -4 3 m'
_symmetry_Int_Tables_number 216
_symmetry_space_group_name_Hall 'F -4 2 3'
_cell_length_a 5.655
_cell_length_b 5.655
_cell_length_c 5.655
_cell_angle_alpha 90.00
_cell_angle_beta 90.00
_cell_angle_gamma 90.00
loop_
_atom_site_label
_atom_site_fract_x
_atom_site_fract_y
_atom_site_fract_z
_atom_site_occupancy
Li1 0.000 0.000 0.000 1
Ni1 0.250 0.250 0.750 1
P1 0.000 0.000 0.500 1
Rh1 0.250 0.250 0.250 1
```

---

Computed, not measured: a geometry-optimized Na2YZrO4 structure at the GGA-PBE level of DFT.

## Properties
crystal system: monoclinic
formation energy without anion corrections: -2.558 eV per atom
M_tot: 0.01 μB/f.u.

Geometry as CIF:
```
data_Na2YZrO4
_symmetry_space_group_name_H-M 'P 1 2/m 1'
_symmetry_Int_Tables_number 10
_symmetry_space_group_name_Hall '-P 2y'
_cell_length_a 5.778
_cell_length_b 3.295
_cell_length_c 5.951
_cell_angle_alpha 90.00
_cell_angle_beta 108.70
_cell_angle_gamma 90.00
loop_
_atom_site_label
_atom_site_fract_x
_atom_site_fract_y
_atom_site_fract_z
_atom_site_occupancy
Na1 0.000 0.000 0.000 1
Na2 0.500 0.500 0.000 1
Y1 0.000 0.500 0.500 1
Zr1 0.500 0.000 0.500 1
O1 0.255 0.000 0.716 1
O2 0.266 0.500 0.281 1
```

---

Computed, not measured: a geometry-optimized Sm6In3Co structure at the GGA-PBE level of DFT.

## Properties
crystal system: orthorhombic
M_tot: 0.00 μB/f.u.
ΔH_f (0 K): -0.25 eV per atom

Geometry as CIF:
```
data_Sm6In3Co
_symmetry_space_group_name_H-M 'P n n m'
_symmetry_Int_Tables_number 58
_symmetry_space_group_name_Hall '-P 2 2n'
_cell_length_a 9.275
_cell_length_b 11.439
_cell_length_c 5.329
_cell_angle_alpha 90.00
_cell_angle_beta 90.00
_cell_angle_gamma 90.00
loop_
_atom_site_label
_atom_site_fract_x
_atom_site_fract_y
_atom_site_fract_z
_atom_site_occupancy
Sm1 0.013 0.229 0.000 1
Sm2 0.156 0.075 0.500 1
Sm3 0.188 0.419 0.500 1
In1 0.000 0.500 0.000 1
In2 0.153 0.733 0.500 1
Co1 0.000 0.000 0.000 1
```

---

Computed, not measured: a geometry-optimized Ho4GaTeSe2 structure at the GGA-PBE level of DFT.

## Properties
crystal system: monoclinic
formation energy without anion corrections: -1.348 eV per atom
M_tot: 0.00 μB/f.u.

Geometry as CIF:
```
data_Ho4GaTeSe2
_symmetry_space_group_name_H-M 'P 1 2/m 1'
_symmetry_Int_Tables_number 10
_symmetry_space_group_name_Hall '-P 2y'
_cell_length_a 7.231
_cell_length_b 4.078
_cell_length_c 7.338
_cell_angle_alpha 90.00
_cell_angle_beta 108.73
_cell_angle_gamma 90.00
loop_
_atom_site_label
_atom_site_fract_x
_atom_site_fract_y
_atom_site_fract_z
_atom_site_occupancy
Ho1 0.243 0.000 0.226 1
Ho2 0.252 0.500 0.763 1
Ga1 0.500 0.000 0.000 1
Te1 0.500 0.500 0.500 1
Se1 0.000 0.000 0.500 1
Se2 0.000 0.500 0.000 1
```

---

Computed, not measured: a geometry-optimized MnCrSCl2 structure at the GGA-PBE level of DFT.

## Properties
crystal system: tetragonal
formation energy without anion corrections: -0.188 eV per atom
offset from the most stable computed form: 0.000 eV per atom
M_tot: 8.79 μB/f.u.

Geometry as CIF:
```
data_MnCrSCl2
_symmetry_space_group_name_H-M 'P 4/m m m'
_symmetry_Int_Tables_number 123
_symmetry_space_group_name_Hall '-P 4 2'
_cell_length_a 4.677
_cell_length_b 4.677
_cell_length_c 4.899
_cell_angle_alpha 90.00
_cell_angle_beta 90.00
_cell_angle_gamma 90.00
loop_
_atom_site_label
_atom_site_fract_x
_atom_site_fract_y
_atom_site_fract_z
_atom_site_occupancy
Mn1 0.000 0.000 0.000 1
Cr1 0.500 0.500 0.500 1
S1 0.500 0.500 0.000 1
Cl1 0.000 0.500 0.500 1
```